Crystalline Tl2MoPbF6 at its relaxed geometry, computed with GGA+U.

POSCAR file:
```
Tl2MoPbF6
1.0
6.0956 0.0000 0.0000
0.0000 9.1239 0.0000
0.0000 0.0000 7.2144
Tl Mo Pb F
4 2 2 12
direct
0.2500 0.0034 0.2181
0.2500 0.4966 0.2181
0.7500 0.5034 0.7819
0.7500 0.9966 0.7819
0.2500 0.7500 0.7759
0.7500 0.2500 0.2241
0.2500 0.2500 0.7164
0.7500 0.7500 0.2836
0.0050 0.7500 0.9827
0.0062 0.2500 0.4203
0.2500 0.5181 0.7837
0.2500 0.9819 0.7837
0.4938 0.2500 0.4203
0.4950 0.7500 0.9827
0.5050 0.2500 0.0173
0.5062 0.7500 0.5797
0.7500 0.0181 0.2163
0.7500 0.4819 0.2163
0.9938 0.7500 0.5797
0.9950 0.2500 0.0173
```

Computed properties:
- electronic total energy (eV for the cell shown) = -93.600
- SG = Pmmn (59)